KAcNd | GGA-PBE | optimized geometry

Cell lengths 6.136, 6.136, 6.136 Å; angles 60.00, 60.00, 60.00 degrees
Positions (direct):
Nd (0.250, 0.250, 0.250)
K (0.500, 0.500, 0.500)
Ac (0.000, 0.000, 0.000)

Computed properties:
The total moment is 1.571 μB per formula unit. The energy above the most stable polymorph in this dataset comes out at 0.0 meV per atom. The value obtained for the volume is 54.45 Å³/atom.